(1)
First-principles (PBE) data for crystalline V2NiAgH at its relaxed geometry, as listed in the Alexandria database.

Cell: 3.794 3.794 3.945 Å, 90.00 90.00 90.00°
Fractional coordinates of all 5 atoms:
V 0.000 0.500 0.000
V 0.500 0.000 0.000
Ni 0.000 0.000 0.500
Ag 0.500 0.500 0.500
H 0.000 0.000 0.000

Values from the calculation:
**Total DFT energy (no corrections)**: -5.93 eV/atom
**ρ**: 7.88 g/cm3

(2)
First-principles (PBE) data for crystalline Y2NiAgH at its relaxed geometry, as listed in the Alexandria database.

Cell: 5.004 5.004 3.564 Å, 90.00 90.00 90.00°
Fractional coordinates of all 5 atoms:
Y 0.000 0.500 0.000
Y 0.500 0.000 0.000
Ni 0.000 0.000 0.500
Ag 0.500 0.500 0.500
H 0.000 0.000 0.000

Values from the calculation:
**Total DFT energy (no corrections)**: -5.36 eV/atom
**ρ**: 6.43 g/cm3

(3)
First-principles (PBE) data for crystalline ZnNi2AgH at its relaxed geometry, as listed in the Alexandria database.

Cell: 3.724 3.724 3.994 Å, 90.00 90.00 90.00°
Fractional coordinates of all 5 atoms:
Zn 0.000 0.000 0.000
Ni 0.000 0.500 0.500
Ni 0.500 0.000 0.500
Ag 0.500 0.500 0.000
H 0.500 0.500 0.500

Values from the calculation:
**Total DFT energy (no corrections)**: -3.79 eV/atom
**ρ**: 8.74 g/cm3
**E above lowest polymorph**: 0.00 kcal/mol of atoms

(4)
First-principles (PBE) data for crystalline ZnNi2AgH at its relaxed geometry, as listed in the Alexandria database.

Cell: 3.703 3.703 4.011 Å, 90.00 90.00 90.00°
Fractional coordinates of all 5 atoms:
Zn 0.000 0.000 0.000
Ni 0.000 0.500 0.500
Ni 0.500 0.000 0.500
Ag 0.500 0.500 0.000
H 0.000 0.000 0.500

Values from the calculation:
**Total DFT energy (no corrections)**: -3.77 eV/atom
**ρ**: 8.80 g/cm3
**E above lowest polymorph**: 0.45 kcal/mol of atoms

(5)
First-principles (PBE) data for crystalline ZnNiAg2H at its relaxed geometry, as listed in the Alexandria database.

Cell: 4.397 4.397 3.307 Å, 90.00 90.00 90.00°
Fractional coordinates of all 5 atoms:
Zn 0.000 0.000 0.000
Ni 0.500 0.500 0.000
Ag 0.000 0.500 0.500
Ag 0.500 0.000 0.500
H 0.500 0.500 0.500

Values from the calculation:
**Total DFT energy (no corrections)**: -3.14 eV/atom
**ρ**: 8.85 g/cm3

(6)
First-principles (PBE) data for crystalline NpAgH2O6 at its relaxed geometry, as listed in the Alexandria database.

Cell: 5.050 5.841 9.536 Å, 90.00 102.08 90.00°
Fractional coordinates of all 20 atoms:
Np 0.000 0.000 0.000
Np 0.000 0.500 0.500
Ag 0.500 0.000 0.500
Ag 0.500 0.500 0.000
H 0.251 0.133 0.685
H 0.251 0.367 0.185
H 0.749 0.633 0.815
H 0.749 0.867 0.315
O 0.105 0.028 0.829
O 0.105 0.472 0.329
O 0.265 0.747 0.056
O 0.265 0.753 0.556
O 0.314 0.224 0.610
O 0.314 0.276 0.110
O 0.686 0.724 0.890
O 0.686 0.776 0.390
O 0.735 0.247 0.444
O 0.735 0.253 0.944
O 0.895 0.528 0.671
O 0.895 0.972 0.171

Values from the calculation:
**Total DFT energy (no corrections)**: -6.60 eV/atom
**ρ**: 5.35 g/cm3

(7)
First-principles (PBE) data for crystalline NpAg2HO6 at its relaxed geometry, as listed in the Alexandria database.

Cell: 6.065 6.065 4.763 Å, 112.21 112.21 52.85°
Fractional coordinates of all 10 atoms:
Np 0.000 0.000 0.000
Ag 0.280 0.280 0.697
Ag 0.720 0.720 0.303
H 0.500 0.500 0.500
O 0.176 0.176 0.010
O 0.206 0.662 0.646
O 0.338 0.794 0.354
O 0.662 0.206 0.646
O 0.794 0.338 0.354
O 0.824 0.824 0.990

Values from the calculation:
**Total DFT energy (no corrections)**: -6.06 eV/atom
**ρ**: 7.21 g/cm3

(8)
First-principles (PBE) data for crystalline NpAgH8Rh4 at its relaxed geometry, as listed in the Alexandria database.

Cell: 5.911 5.911 5.911 Å, 56.36 56.36 56.36°
Fractional coordinates of all 14 atoms:
Np 0.000 0.000 0.000
Ag 0.357 0.357 0.357
H 0.224 0.224 0.224
H 0.277 0.707 0.707
H 0.289 0.289 0.782
H 0.289 0.782 0.289
H 0.707 0.277 0.707
H 0.707 0.707 0.277
H 0.765 0.765 0.765
H 0.782 0.289 0.289
Rh 0.000 0.000 0.505
Rh 0.000 0.505 0.000
Rh 0.505 0.000 0.000
Rh 0.643 0.643 0.643

Values from the calculation:
**Total DFT energy (no corrections)**: -5.14 eV/atom
**ρ**: 9.49 g/cm3